! CaCdPb2 | Alexandria | GGA-PBE | optimized geometry; values from VASP
! - Total moment: 0.000 μB per atom
! - Density of states at the Fermi level: 4.13 states/eV per cell
! - Formation energy from the elements: -0.510 eV per formula unit
! - Crystal system: trigonal
&SYSTEM
  ibrav = 0, nat = 12, ntyp = 3
/
ATOMIC_SPECIES
Ca 40.08 Ca.upf
Cd 112.41 Cd.upf
Pb 207.20 Pb.upf
ATOMIC_POSITIONS crystal
Ca 0.000 0.000 0.000
Ca 0.333 0.667 0.667
Ca 0.667 0.333 0.333
Cd 0.000 0.000 0.826
Cd 0.333 0.667 0.492
Cd 0.667 0.333 0.159
Pb 0.000 0.000 0.421
Pb 0.000 0.000 0.569
Pb 0.333 0.667 0.088
Pb 0.333 0.667 0.236
Pb 0.667 0.333 0.755
Pb 0.667 0.333 0.903
CELL_PARAMETERS angstrom
4.677 0.000 0.000
-2.338 4.050 0.000
0.000 0.000 20.453